DFT (PBE) results for crystalline PuSnO at its relaxed geometry.

Output
ΔE_f (raw) = -1650 meV per atom
crystal system = tetragonal
polymorph energy (0 for the lowest one) = 219 meV/atom

abc: 3.392 3.392 10.513
angles: 90.00 90.00 90.00
Each line ends with the local moment (μB).
Fractional coordinates of all 6 atoms:
Sn (0.000, 0.500, 0.608)  0.03
O (0.500, 0.000, 0.088)  -0.12
Sn (0.500, 0.000, 0.392)  0.03
Pu (0.500, 0.000, 0.866)  5.35
Pu (0.000, 0.500, 0.134)  5.35
O (0.000, 0.500, 0.912)  -0.12

DFT (PBE) results for crystalline SrLa3Ir at its relaxed geometry.

Output
E_form = -0.281 eV/atom
crystal system = monoclinic
polymorph energy (0 for the lowest one) = 41 meV/atom

abc: 24.563 7.217 9.882
angles: 90.00 154.69 90.00
Fractional coordinates of all 20 atoms:
La (0.064, 0.740, 0.645)
La (0.706, 0.669, 0.799)
La (0.294, 0.331, 0.201)
La (0.322, 0.589, 0.895)
La (0.436, 0.240, 0.855)
La (0.678, 0.411, 0.105)
La (0.206, 0.831, 0.299)
Sr (0.438, 0.836, 0.495)
La (0.936, 0.260, 0.355)
Ir (0.619, 0.068, 0.098)
La (0.822, 0.911, 0.395)
Sr (0.562, 0.164, 0.505)
Ir (0.119, 0.432, 0.598)
La (0.794, 0.169, 0.701)
Ir (0.381, 0.932, 0.902)
La (0.564, 0.760, 0.145)
Sr (0.062, 0.336, 0.005)
Ir (0.881, 0.568, 0.402)
Sr (0.938, 0.664, 0.995)
La (0.178, 0.089, 0.605)

DFT (PBE) results for crystalline SrTe2SeN at its relaxed geometry.

Output
ΔE_f (raw) = 134 meV per atom
crystal system = tetragonal
polymorph energy (0 for the lowest one) = 0 meV/atom

abc: 5.942 5.942 3.784
angles: 90.00 90.00 90.00
Fractional coordinates of all 5 atoms:
Te (0.000, 0.500, 0.000)
Te (0.500, 0.000, 0.000)
Se (0.000, 0.000, 0.000)
N (0.000, 0.000, 0.500)
Sr (0.500, 0.500, 0.500)

DFT (PBE) results for crystalline ZrTa2Tl2 at its relaxed geometry.

Output
E_form = 0.571 eV/atom
crystal system = tetragonal
polymorph energy (0 for the lowest one) = 0 meV/atom

abc: 8.419 8.419 3.077
angles: 90.00 90.00 90.00
Fractional coordinates of all 10 atoms:
Ta (0.885, 0.615, 0.000)
Ta (0.115, 0.385, 0.000)
Zr (0.000, 0.000, 0.000)
Tl (0.319, 0.181, 0.500)
Tl (0.819, 0.319, 0.500)
Tl (0.681, 0.819, 0.500)
Ta (0.385, 0.885, 0.000)
Ta (0.615, 0.115, 0.000)
Zr (0.500, 0.500, 0.000)
Tl (0.181, 0.681, 0.500)

DFT (PBE) results for crystalline TlSbCl at its relaxed geometry.

Output
ΔE_f (raw) = -234 meV per atom
crystal system = orthorhombic
polymorph energy (0 for the lowest one) = 290 meV/atom

abc: 5.989 5.989 5.989
angles: 146.06 124.72 66.47
Fractional coordinates of all 3 atoms:
Tl (0.701, 0.701, 0.000)
Sb (0.273, 0.273, 0.000)
Cl (0.025, 0.025, 0.000)

DFT (PBE) results for crystalline Ta4InNi at its relaxed geometry.

Output
E_form = 0.520 eV/atom
crystal system = cubic

abc: 5.450 5.450 5.450
angles: 60.00 60.00 60.00
Fractional coordinates of all 6 atoms:
Ta (0.375, 0.874, 0.375)
Ta (0.375, 0.375, 0.874)
Ni (0.000, 0.000, 0.000)
In (0.750, 0.750, 0.750)
Ta (0.375, 0.375, 0.375)
Ta (0.874, 0.375, 0.375)

How do the records compare in calculated total energy? In the order shown, they have -56.49, -106.93, -19.10, -68.27, -9.04, -52.81 eV per cell.